(1)
DFT (PBE) results for an optimized crystal structure of CsPu2Te2.

## Properties
- magnetization (μB per formula unit) = 13.002
- crystal system = orthorhombic
- formation energy from raw total energies (meV per atom) = -799
- symmetry = Fmmm (69)

Unit cell a=4.823 b=4.823 c=9.333 alpha=78.05 beta=78.05 gamma=101.47
Site moments in Bohr magnetons follow the coordinates.
Fractional positions:
Te: 0.633 0.633 0.735  -0.06
Te: 0.367 0.367 0.265  -0.06
Cs: 0.000 0.000 0.000  0.01
Pu: 0.750 0.250 0.500  5.94
Pu: 0.250 0.750 0.500  5.94

---

(2)
DFT (PBE) results for an optimized crystal structure of Pr3Al2Ga9.

## Properties
- energy of formation from the pure elements (meV/atom) = -481
- magnetization (μB per formula unit) = 0.000
- crystal system = orthorhombic
- symmetry = Immm (71)

Unit cell a=8.540 b=8.540 c=8.540 alpha=150.70 beta=107.47 gamma=80.08
Fractional positions:
Ga: 0.132 0.860 0.272
Ga: 0.295 0.667 0.628
Ga: 0.039 0.667 0.372
Ga: 0.412 0.140 0.272
Ga: 0.500 0.000 0.500
Ga: 0.868 0.140 0.728
Ga: 0.961 0.333 0.628
Ga: 0.705 0.333 0.372
Ga: 0.588 0.860 0.728
Al: 0.277 0.500 0.777
Al: 0.723 0.500 0.223
Pr: 0.321 0.321 0.000
Pr: 0.679 0.679 0.000
Pr: 0.000 0.000 0.000

---

(3)
DFT (PBE) results for an optimized crystal structure of Sc2HgPd.

## Properties
- energy of formation from the pure elements (meV/atom) = -93
- magnetization (μB per formula unit) = 0.000
- crystal system = trigonal
- symmetry = R-3m (166)

Unit cell a=9.976 b=9.976 c=9.976 alpha=18.45 beta=18.45 gamma=18.45
Fractional positions:
Sc: 0.085 0.085 0.085
Sc: 0.915 0.915 0.915
Pd: 0.000 0.000 0.000
Hg: 0.500 0.500 0.500

---

(4)
DFT (PBE) results for an optimized crystal structure of KTmB2H8.

## Properties
- magnetization (μB per formula unit) = 0.000
- E_tot (eV per atom) = -4.06
- crystal system = trigonal
- symmetry = R-3m (166)

Unit cell a=4.011 b=4.011 c=8.075 alpha=75.62 beta=75.62 gamma=60.00
Fractional positions:
H: 0.943 0.449 0.159
H: 0.057 0.551 0.841
H: 0.449 0.943 0.159
H: 0.792 0.792 0.625
H: 0.551 0.057 0.841
H: 0.449 0.449 0.159
H: 0.551 0.551 0.841
H: 0.208 0.208 0.375
Tm: 0.000 0.000 0.000
B: 0.261 0.261 0.216
B: 0.739 0.739 0.784
K: 0.500 0.500 0.500

---

(5)
DFT (PBE) results for an optimized crystal structure of Tm2PdAu.

## Properties
- energy of formation from the pure elements (meV/atom) = -915
- magnetization (μB per formula unit) = 0.000
- crystal system = tetragonal
- symmetry = P4/mmm (123)

Unit cell a=3.497 b=3.497 c=7.069 alpha=90.00 beta=90.00 gamma=90.00
Fractional positions:
Pd: 0.500 0.500 0.000
Tm: 0.000 0.000 0.245
Tm: 0.000 0.000 0.755
Au: 0.500 0.500 0.500

---

(6)
DFT (PBE) results for an optimized crystal structure of NbGaW.

## Properties
- energy of formation from the pure elements (meV/atom) = -67
- magnetization (μB per formula unit) = 0.000
- crystal system = tetragonal
- energy relative to the lowest polymorph listed for this composition (eV/atom) = 0.024
- symmetry = I4mm (107)

Unit cell a=3.394 b=3.394 c=4.949 alpha=110.05 beta=110.05 gamma=90.00
Fractional positions:
Ga: 0.286 0.286 0.572
W: 0.952 0.952 0.904
Nb: 0.612 0.612 0.224

---

(7)
DFT (PBE) results for an optimized crystal structure of DyZnAs2Rh5.

## Properties
- energy of formation from the pure elements (meV/atom) = -370
- magnetization (μB per formula unit) = 0.000
- crystal system = tetragonal
- symmetry = P4/mmm (123)

Unit cell a=4.039 b=4.039 c=10.368 alpha=90.00 beta=90.00 gamma=90.00
Fractional positions:
Zn: 0.000 0.000 0.000
Rh: 0.000 0.500 0.150
Rh: 0.500 0.500 0.500
Rh: 0.500 0.000 0.850
Rh: 0.000 0.500 0.850
Rh: 0.500 0.000 0.150
As: 0.500 0.500 0.728
As: 0.500 0.500 0.272
Dy: 0.000 0.000 0.500

---

(8)
DFT (PBE) results for an optimized crystal structure of FeNiRu2.

## Properties
- energy of formation from the pure elements (meV/atom) = 143
- magnetization (μB per formula unit) = 2.311
- crystal system = monoclinic
- symmetry = C2/m (12)

Unit cell a=4.470 b=4.470 c=4.619 alpha=80.30 beta=80.30 gamma=34.22
Site moments in Bohr magnetons follow the coordinates.
Fractional positions:
Fe: 0.750 0.750 0.750  2.33
Ni: 0.250 0.250 0.250  0.15
Ru: 0.002 0.002 0.001  -0.08
Ru: 0.498 0.498 0.499  -0.08